Below is a relaxed structure of MgInSnBi, with properties calculated at the PBE-GGA level.

As for the space-group type: F-43m (216). The calculation puts the offset from the most stable computed form at 75.4 meV per atom.

POSCAR file:
```
MgInSnBi
1.0
-0.4145 -1.3736 -5.1867
-4.6364 -1.9613 -1.9019
-3.0081 2.9633 -3.3362
Sn In Bi Mg
1 1 1 1
direct
0.2500 0.2500 0.2500 Sn
0.5000 0.5000 0.5000 In
0.0000 0.0000 0.0000 Bi
0.7500 0.7500 0.7500 Mg
```

Below is a relaxed structure of SrMg2InBi, with properties calculated at the PBE-GGA level.

The calculation puts the total energy at -2.23 eV per atom. As for the space-group type: P4/mmm (123).

POSCAR file:
```
SrMg2InBi
1.0
-1.2233 4.1377 3.0805
-5.2259 0.9027 -3.2878
-2.6259 -3.2246 3.2884
Mg Bi Sr In
2 1 1 1
direct
0.0000 0.0000 0.5000 Mg
0.5000 0.0000 0.0000 Mg
0.5000 0.5000 0.5000 Bi
0.0000 0.5000 0.0000 Sr
0.0000 0.0000 0.0000 In
```

Below is a relaxed structure of SrMgInBi, with properties calculated at the PBE-GGA level.

The calculation puts the total energy at -2.79 eV per atom. As for the space-group type: F-43m (216).

POSCAR file:
```
SrMgInBi
1.0
-3.9464 2.6590 2.8715
-4.7256 1.5043 -2.5090
-4.7552 -2.5938 1.2453
Mg Bi In Sr
1 1 1 1
direct
0.0000 0.0000 0.0000 Mg
0.2500 0.2500 0.2500 Bi
0.7500 0.7500 0.7500 In
0.5000 0.5000 0.5000 Sr
```

Below is a relaxed structure of MgInBiTe2, with properties calculated at the PBE-GGA level.

The raw formation energy is 37.0 kJ per mole of atoms. As for the space-group type: P4/mmm (123).

POSCAR file:
```
MgInBiTe2
1.0
-0.2021 2.1269 5.6472
4.8167 -2.9700 1.2910
3.3628 4.7314 -1.6616
Bi Te Mg In
1 2 1 1
direct
0.0000 0.0000 0.0000 Bi
0.0000 0.0000 0.5000 Te
0.5000 0.0000 0.0000 Te
0.5000 0.5000 0.5000 Mg
0.0000 0.5000 0.0000 In
```